Entry a
Compound: Bi2RuF
Source: Alexandria
Functional: PBE-GGA
Structure: relaxed

Cell lengths 4.7490, 4.7490, 4.7490 Å; angles 60.00, 60.00, 60.00 degrees
Last column: nearest neighbours and their distance in Å.
Fractional coordinates of all 4 atoms:
Bi1 0.2500 0.2500 0.2500  4 F 2.91, 4 Ru 2.91
Bi2 0.7500 0.7500 0.7500  4 F 2.91, 4 Ru 2.91
Ru1 0.0000 0.0000 0.0000  8 Bi 2.91
F1 0.5000 0.5000 0.5000  8 Bi 2.91

Values from the calculation:
Symmetry = Fm-3m
Mass density = 11.80 Mg/m³
V = 18.9 Å³/atom

***

Entry b
Compound: Bi2RuF
Source: Alexandria
Functional: PBE-GGA
Structure: relaxed

Cell lengths 7.5636, 7.5636, 7.5636 Å; angles 134.87, 134.87, 65.73 degrees
Last column: nearest neighbours and their distance in Å.
Fractional coordinates of all 8 atoms:
Bi1 0.1196 0.6250 0.9946  2 F 2.58, 2 Ru 2.61
Bi2 0.3750 0.3696 0.4946  2 F 2.58, 2 Ru 2.61
Bi3 0.6304 0.1250 0.0054  2 F 2.58, 2 Ru 2.61
Bi4 0.8750 0.8804 0.5054  2 F 2.58, 2 Ru 2.61
Ru1 0.2500 0.7500 0.5000  4 Bi 2.61
Ru2 0.5000 0.5000 0.0000  4 Bi 2.61
F1 0.0000 0.0000 0.0000  4 Bi 2.58
F2 0.7500 0.2500 0.5000  4 Bi 2.58

Values from the calculation:
Symmetry = I-42d
Mass density = 8.35 Mg/m³
V = 26.8 Å³/atom

***

Energy ordering: entry a at the bottom, the next structure 0.149 eV/atom above.

***

Entry a
Compound: Bi3RuF
Source: Alexandria
Functional: PBE-GGA
Structure: relaxed

Cell lengths 4.9167, 4.9167, 4.9167 Å; angles 90.00, 90.00, 90.00 degrees
Last column: nearest neighbours and their distance in Å.
Fractional coordinates of all 5 atoms:
Bi1 0.0000 0.0000 0.5000  2 F 2.46
Bi2 0.0000 0.5000 0.0000  2 F 2.46
Bi3 0.5000 0.0000 0.0000  2 F 2.46
Ru1 0.5000 0.5000 0.5000  12 Bi 3.48
F1 0.0000 0.0000 0.0000  6 Bi 2.46

Values from the calculation:
Symmetry = Pm-3m
Mass density = 10.44 Mg/m³
V = 23.8 Å³/atom

***

Entry b
Compound: Bi3RuF
Source: Alexandria
Functional: PBE-GGA
Structure: relaxed

Cell lengths 5.2913, 5.2913, 5.2913 Å; angles 90.00, 90.00, 90.00 degrees
Last column: nearest neighbours and their distance in Å.
Fractional coordinates of all 5 atoms:
Bi1 0.0000 0.0000 0.5000  2 Ru 2.65
Bi2 0.0000 0.5000 0.0000  2 Ru 2.65
Bi3 0.5000 0.0000 0.0000  2 Ru 2.65
Ru1 0.0000 0.0000 0.0000  6 Bi 2.65
F1 0.5000 0.5000 0.5000  12 Bi 3.74

Values from the calculation:
Symmetry = Pm-3m
Mass density = 8.37 Mg/m³
V = 29.6 Å³/atom

***

Energy ordering: entry b at the bottom, the next structure 0.089 eV/atom above.

***

Entry a
Compound: BiRuF3
Source: Alexandria
Functional: PBE-GGA
Structure: relaxed

Cell lengths 4.6394, 4.6394, 4.6394 Å; angles 90.00, 90.00, 90.00 degrees
Last column: nearest neighbours and their distance in Å.
Fractional coordinates of all 5 atoms:
Bi1 0.0000 0.0000 0.0000  6 F 2.32
Ru1 0.5000 0.5000 0.5000  12 F 3.28
F1 0.0000 0.0000 0.5000  2 Bi 2.32
F2 0.0000 0.5000 0.0000  2 Bi 2.32
F3 0.5000 0.0000 0.0000  2 Bi 2.32

Values from the calculation:
Symmetry = Pm-3m
Mass density = 6.10 Mg/m³
V = 20.0 Å³/atom

***

Entry b
Compound: BiRuF3
Source: Alexandria
Functional: PBE-GGA
Structure: relaxed

Cell lengths 4.2696, 4.2696, 4.2696 Å; angles 90.00, 90.00, 90.00 degrees
Last column: nearest neighbours and their distance in Å.
Fractional coordinates of all 5 atoms:
Bi1 0.0000 0.0000 0.0000  12 F 3.02
Ru1 0.5000 0.5000 0.5000  6 F 2.13
F1 0.0000 0.5000 0.5000  2 Ru 2.13
F2 0.5000 0.0000 0.5000  2 Ru 2.13
F3 0.5000 0.5000 0.0000  2 Ru 2.13

Values from the calculation:
Symmetry = Pm-3m
Mass density = 7.83 Mg/m³
V = 15.6 Å³/atom

***

Energy ordering: entry b at the bottom, the next structure 0.086 eV/atom above.

***

Entry a
Compound: BiRuF2
Source: Alexandria
Functional: PBE-GGA
Structure: relaxed

Cell lengths 4.4673, 4.4673, 4.4673 Å; angles 60.00, 60.00, 60.00 degrees
Last column: nearest neighbours and their distance in Å.
Fractional coordinates of all 4 atoms:
Bi1 0.0000 0.0000 0.0000  8 F 2.74
Ru1 0.5000 0.5000 0.5000  8 F 2.74
F1 0.2500 0.2500 0.2500  4 Bi 2.74, 4 Ru 2.74
F2 0.7500 0.7500 0.7500  4 Bi 2.74, 4 Ru 2.74

Values from the calculation:
Symmetry = Fm-3m
Mass density = 9.17 Mg/m³
V = 15.8 Å³/atom

***

Entry b
Compound: BiRuF2
Source: Alexandria
Functional: PBE-GGA
Structure: relaxed

Cell lengths 8.4778, 8.4778, 8.4778 Å; angles 20.99, 20.99, 20.99 degrees
Last column: nearest neighbours and their distance in Å.
Fractional coordinates of all 4 atoms:
Bi1 0.0000 0.0000 0.0000  6 F 2.79, 6 Bi 3.09
Ru1 0.5000 0.5000 0.5000  2 F 2.00
F1 0.4195 0.4195 0.4195  1 Ru 2.00
F2 0.5805 0.5805 0.5805  1 Ru 2.00

Values from the calculation:
Symmetry = R-3m
Mass density = 8.44 Mg/m³
V = 17.1 Å³/atom

***

Entry c
Compound: BiRuF2
Source: Alexandria
Functional: PBE-GGA
Structure: relaxed

Cell lengths 5.6385, 5.6385, 5.6385 Å; angles 102.80, 102.80, 123.83 degrees
Last column: nearest neighbours and their distance in Å.
Fractional coordinates of all 8 atoms:
Bi1 0.0000 0.0000 0.0000  2 Ru 2.65, 4 F 2.92
Bi2 0.7500 0.2500 0.5000  2 Ru 2.65, 4 F 2.92
Ru1 0.2500 0.7500 0.5000  4 F 2.23
Ru2 0.5000 0.5000 0.0000  4 F 2.23
F1 0.2044 0.6250 0.0794  2 Ru 2.23
F2 0.3750 0.4544 0.5794  2 Ru 2.23
F3 0.5456 0.1250 0.9206  2 Ru 2.23
F4 0.8750 0.7956 0.4206  2 Ru 2.23

Values from the calculation:
Symmetry = I-42d
Mass density = 8.80 Mg/m³
V = 16.4 Å³/atom

***

Energy ordering: entry b at the bottom, the next structure 0.144 eV/atom above.

***

Entry a
Compound: BiSF
Source: Alexandria
Functional: PBE-GGA
Structure: relaxed

Cell lengths 9.6908, 9.6908, 3.7405 Å; angles 90.00, 90.00, 157.79 degrees
Last column: nearest neighbours and their distance in Å.
Fractional coordinates of all 6 atoms:
Bi1 0.1598 0.8402 0.7500  4 F 2.53-2.54
Bi2 0.8402 0.1598 0.2500  4 F 2.53-2.54
S1 0.3990 0.6010 0.7500  4 Bi 2.87
S2 0.6010 0.3990 0.2500  4 Bi 2.87
F1 0.2500 0.7500 0.2500  4 Bi 2.53-2.54, 4 F 2.64
F2 0.7500 0.2500 0.7500  4 Bi 2.53-2.54, 4 F 2.64

Values from the calculation:
Symmetry = Cmcm
Mass density = 6.50 Mg/m³
V = 22.1 Å³/atom

***

Entry b
Compound: BiSF
Source: Alexandria
Functional: PBE-GGA
Structure: relaxed

Cell lengths 3.9716, 3.9716, 5.1190 Å; angles 90.00, 90.00, 120.00 degrees
Last column: nearest neighbours and their distance in Å.
Fractional coordinates of all 3 atoms:
Bi1 0.0000 0.0000 0.0000  3 F 2.48, 3 S 2.74
S1 0.6667 0.3333 0.2927  3 Bi 2.74
F1 0.3333 0.6667 0.8161  3 Bi 2.48

Values from the calculation:
Symmetry = P3m1
Mass density = 6.18 Mg/m³
V = 23.3 Å³/atom

***

Entry c
Compound: BiSF
Source: Alexandria
Functional: PBE-GGA
Structure: relaxed

Cell lengths 5.6869, 5.6869, 4.6216 Å; angles 96.74, 96.74, 97.48 degrees
Last column: nearest neighbours and their distance in Å.
Fractional coordinates of all 6 atoms:
Bi1 0.2450 0.2450 0.3842  2 F 2.30-2.34
Bi2 0.7550 0.7550 0.6158  2 F 2.30-2.34
S1 0.2874 0.7126 0.5000  2 Bi 2.62
S2 0.7126 0.2874 0.5000  2 Bi 2.62
F1 0.2210 0.2210 0.8815  2 Bi 2.30-2.34
F2 0.7790 0.7790 0.1185  2 Bi 2.30-2.34

Values from the calculation:
Symmetry = C2/m
Mass density = 5.92 Mg/m³
V = 24.3 Å³/atom

***

Energy ordering: entry b at the bottom, the next structure 0.044 eV/atom above.

***

Entry a
Compound: BiSF
Source: Alexandria
Functional: PBE-GGA
Structure: relaxed

Cell lengths 5.0810, 5.0810, 5.0810 Å; angles 135.18, 135.18, 65.26 degrees
Last column: nearest neighbours and their distance in Å.
Fractional coordinates of all 3 atoms:
Bi1 0.0000 0.0000 0.0000  1 F 2.13
S1 0.4119 0.4119 0.0000  4 Bi 2.84, 5 F 2.90-3.07
F1 0.7511 0.7511 0.0000  1 Bi 2.13

Values from the calculation:
Symmetry = I4mm
Mass density = 6.72 Mg/m³
V = 21.4 Å³/atom

***

Entry b
Compound: BiSF
Source: Alexandria
Functional: PBE-GGA
Structure: relaxed

Cell lengths 6.7554, 3.9538, 8.8932 Å; angles 90.00, 90.00, 90.00 degrees
Last column: nearest neighbours and their distance in Å.
Fractional coordinates of all 12 atoms:
Bi1 0.2405 0.2500 0.0833  3 F 2.43-2.67, 1 S 2.66
Bi2 0.2595 0.7500 0.5833  3 F 2.43-2.67, 1 S 2.66
Bi3 0.7405 0.2500 0.4167  3 F 2.43-2.67, 1 S 2.66
Bi4 0.7595 0.7500 0.9167  3 F 2.43-2.67, 1 S 2.66
S1 0.0311 0.2500 0.8295  3 Bi 2.66-2.81
S2 0.4689 0.7500 0.3295  3 Bi 2.66-2.81
S3 0.5311 0.2500 0.6705  3 Bi 2.66-2.81
S4 0.9689 0.7500 0.1705  3 Bi 2.66-2.81
F1 0.1326 0.2500 0.4582  3 Bi 2.43-2.67
F2 0.3674 0.7500 0.9582  3 Bi 2.43-2.67
F3 0.6326 0.2500 0.0418  3 Bi 2.43-2.67
F4 0.8674 0.7500 0.5418  3 Bi 2.43-2.67

Values from the calculation:
Symmetry = Pnma
Mass density = 7.27 Mg/m³
V = 19.8 Å³/atom

***

Energy ordering: entry b at the bottom, the next structure 0.208 eV/atom above.

***

Entry a
Compound: Bi2SF
Source: Alexandria
Functional: PBE-GGA
Structure: relaxed

Cell lengths 6.2279, 6.2279, 6.2279 Å; angles 106.71, 106.71, 115.14 degrees
Last column: nearest neighbours and their distance in Å.
Fractional coordinates of all 8 atoms:
Bi1 0.1083 0.6250 0.9833  2 F 2.68, 2 S 2.84
Bi2 0.3750 0.3583 0.4833  2 F 2.68, 2 S 2.84
Bi3 0.6417 0.1250 0.0167  2 F 2.68, 2 S 2.84
Bi4 0.8750 0.8917 0.5167  2 F 2.68, 2 S 2.84
S1 0.2500 0.7500 0.5000  4 Bi 2.84
S2 0.5000 0.5000 0.0000  4 Bi 2.84
F1 0.0000 0.0000 0.0000  4 Bi 2.68
F2 0.7500 0.2500 0.5000  4 Bi 2.68

Values from the calculation:
Symmetry = I-42d
Mass density = 8.44 Mg/m³
V = 23.1 Å³/atom

***

Entry b
Compound: Bi2SF
Source: Alexandria
Functional: PBE-GGA
Structure: relaxed

Cell lengths 4.9453, 4.9453, 4.9453 Å; angles 60.00, 60.00, 60.00 degrees
Last column: nearest neighbours and their distance in Å.
Fractional coordinates of all 4 atoms:
Bi1 0.2500 0.2500 0.2500  4 S 3.03, 4 F 3.03
Bi2 0.7500 0.7500 0.7500  4 F 3.03, 4 S 3.03
S1 0.0000 0.0000 0.0000  8 Bi 3.03
F1 0.5000 0.5000 0.5000  8 Bi 3.03

Values from the calculation:
Symmetry = Fm-3m
Mass density = 9.11 Mg/m³
V = 21.4 Å³/atom

***

Energy ordering: entry a at the bottom, the next structure 0.175 eV/atom above.

***

Entry a
Compound: BiSbF3
Source: Alexandria
Functional: PBE-GGA
Structure: relaxed

Cell lengths 4.6704, 4.6704, 4.6704 Å; angles 90.00, 90.00, 90.00 degrees
Last column: nearest neighbours and their distance in Å.
Fractional coordinates of all 5 atoms:
Bi1 0.0000 0.0000 0.0000  6 F 2.34
Sb1 0.5000 0.5000 0.5000  12 F 3.30
F1 0.0000 0.0000 0.5000  2 Bi 2.34
F2 0.0000 0.5000 0.0000  2 Bi 2.34
F3 0.5000 0.0000 0.0000  2 Bi 2.34

Values from the calculation:
Symmetry = Pm-3m
Mass density = 6.32 Mg/m³
V = 20.4 Å³/atom

***

Entry b
Compound: BiSbF3
Source: Alexandria
Functional: PBE-GGA
Structure: relaxed

Cell lengths 4.6079, 4.6079, 4.6079 Å; angles 90.00, 90.00, 90.00 degrees
Last column: nearest neighbours and their distance in Å.
Fractional coordinates of all 5 atoms:
Bi1 0.0000 0.0000 0.0000  12 F 3.26
Sb1 0.5000 0.5000 0.5000  6 F 2.30
F1 0.0000 0.5000 0.5000  2 Sb 2.30
F2 0.5000 0.0000 0.5000  2 Sb 2.30
F3 0.5000 0.5000 0.0000  2 Sb 2.30

Values from the calculation:
Symmetry = Pm-3m
Mass density = 6.58 Mg/m³
V = 19.6 Å³/atom

***

Energy ordering: entry a at the bottom, the next structure 0.057 eV/atom above.